Compound: TlZnGa
Source: Alexandria via LeMat-Bulk
Functional: PBE
Structure: optimized geometry

Density of states at the Fermi level, states/eV per atom: 0.3926
Space-group type: P1
Energy of formation from the pure elements, eV per atom: 0.080

a b c (Å): 3.722 3.923 9.724
angles (deg): 79.62 89.92 90.00
Sites, in units of the cell vectors:
1 Tl 0.000 0.000 0.000
2 Tl 0.500 0.386 0.238
3 Zn 0.001 0.649 0.731
4 Zn 0.002 0.250 0.514
5 Ga 0.501 0.148 0.740
6 Ga 0.503 0.759 0.497